1.
The following is a meta-GGA SCAN calculation of a PBEsol-optimized structure of TaSiOs2, from the Alexandria database.

Results
V	58	Å³/cell
E_tot	-55.28	eV per atom

Lattice parameters (Å, degrees): 2.8426 3.9453 5.1927 90.00 90.00 90.00
Sites, in units of the cell vectors:
Ta 0.0000 0.0000 0.0000
Si 0.5000 0.5000 0.7127
Os 0.0000 0.0000 0.5224
Os 0.5000 0.5000 0.2233


2.
The following is a meta-GGA SCAN calculation of a PBEsol-optimized structure of Sr2HgGeIr, from the Alexandria database.

Results
V	155	Å³/cell
formation energy	-0.512	eV per atom

Lattice parameters (Å, degrees): 5.7738 5.7738 4.6509 90.00 90.00 90.00
Sites, in units of the cell vectors:
Sr 0.0000 0.5000 0.0000
Sr 0.5000 0.0000 0.0000
Hg 0.0000 0.0000 0.5000
Ge 0.5000 0.5000 0.5000
Ir 0.5000 0.5000 0.0000


3.
The following is a meta-GGA SCAN calculation of a PBEsol-optimized structure of Zr3BiPb, from the Alexandria database.

Results
V	150	Å³/cell
formation energy	0.771	eV per atom

Lattice parameters (Å, degrees): 5.3138 5.3138 5.3138 90.00 90.00 90.00
Sites, in units of the cell vectors:
Zr 0.0000 0.0000 0.5000
Zr 0.0000 0.5000 0.0000
Zr 0.5000 0.0000 0.0000
Bi 0.5000 0.5000 0.5000
Pb 0.0000 0.0000 0.0000


4.
The following is a meta-GGA SCAN calculation of a PBEsol-optimized structure of TlSN2F, from the Alexandria database.

Results
V	70	Å³/cell
relative energy among the computed polymorphs	0	meV/atom

Lattice parameters (Å, degrees): 3.4891 3.4891 5.7181 90.00 90.00 90.00
Sites, in units of the cell vectors:
Tl 0.0000 0.0000 0.0000
S 0.5000 0.5000 0.5000
N 0.0000 0.5000 0.5000
N 0.5000 0.0000 0.5000
F 0.5000 0.5000 0.0000


5.
The following is a meta-GGA SCAN calculation of a PBEsol-optimized structure of MnNbGaAg2, from the Alexandria database.

Results
V	103	Å³/cell
formation energy	0.722	eV per atom

Lattice parameters (Å, degrees): 4.6095 4.6095 4.8656 90.00 90.00 90.00
Sites, in units of the cell vectors:
Mn 0.0000 0.0000 0.0000
Nb 0.5000 0.5000 0.0000
Ga 0.5000 0.5000 0.5000
Ag 0.0000 0.5000 0.5000
Ag 0.5000 0.0000 0.5000


6.
The following is a meta-GGA SCAN calculation of a PBEsol-optimized structure of CdRe2Ir, from the Alexandria database.

Results
V	62	Å³/cell
formation energy	0.362	eV per atom

Lattice parameters (Å, degrees): 2.7326 2.7326 9.3829 90.00 90.00 117.09
Sites, in units of the cell vectors:
Cd 0.0000 0.0000 0.0000
Re 0.0000 0.0000 0.4974
Re 0.5000 0.5000 0.7295
Ir 0.5000 0.5000 0.2577


7.
The following is a meta-GGA SCAN calculation of a PBEsol-optimized structure of Ca4P6O19, from the Alexandria database.

Results
V	746	Å³/cell
E_tot	-10.46	eV per atom

Lattice parameters (Å, degrees): 6.8636 9.1691 12.8143 109.51 99.95 91.60
Sites, in units of the cell vectors:
Ca 0.0270 0.1840 0.1484
Ca 0.0987 0.6487 0.3341
Ca 0.1878 0.0068 0.6336
Ca 0.3542 0.8710 0.1223
Ca 0.6458 0.1290 0.8777
Ca 0.8122 0.9932 0.3664
Ca 0.9013 0.3513 0.6659
Ca 0.9730 0.8160 0.8516
P 0.1241 0.1874 0.8799
P 0.2034 0.6297 0.6206
P 0.2701 0.0516 0.3746
P 0.2861 0.4621 0.0931
P 0.3732 0.3293 0.5841
P 0.4643 0.7602 0.8494
P 0.5357 0.2398 0.1506
P 0.6268 0.6707 0.4159
P 0.7139 0.5379 0.9069
P 0.7299 0.9484 0.6254
P 0.7966 0.3703 0.3794
P 0.8759 0.8126 0.1201
O 0.0012 0.1160 0.9438
O 0.0097 0.7733 0.2118
O 0.0476 0.5931 0.6796
O 0.1063 0.0965 0.2975
O 0.1278 0.4317 0.1532
O 0.1587 0.7229 0.5441
O 0.1766 0.9660 0.4413
O 0.2175 0.2650 0.6311
O 0.2418 0.3493 0.9657
O 0.2888 0.0890 0.8352
O 0.2892 0.4757 0.5507
O 0.3056 0.8157 0.9170
O 0.3359 0.6209 0.0944
O 0.3491 0.1325 0.1205
O 0.3886 0.7276 0.7176
O 0.3898 0.2135 0.4638
O 0.4232 0.6208 0.3477
O 0.4359 0.9717 0.3184
O 0.4922 0.4051 0.1433
O 0.5078 0.5949 0.8567
O 0.5641 0.0283 0.6816
O 0.5768 0.3792 0.6523
O 0.6102 0.7865 0.5362
O 0.6114 0.2724 0.2824
O 0.6509 0.8675 0.8795
O 0.6641 0.3791 0.9056
O 0.6944 0.1843 0.0830
O 0.7108 0.5243 0.4493
O 0.7112 0.9110 0.1648
O 0.7582 0.6507 0.0343
O 0.7825 0.7350 0.3689
O 0.8234 0.0340 0.5587
O 0.8413 0.2771 0.4559
O 0.8722 0.5683 0.8468
O 0.8937 0.9035 0.7025
O 0.9524 0.4069 0.3204
O 0.9903 0.2267 0.7882
O 0.9988 0.8840 0.0562


8.
The following is a meta-GGA SCAN calculation of a PBEsol-optimized structure of BaSm2Ti3O10, from the Alexandria database.

Results
V	409	Å³/cell
E_tot	-18.48	eV per atom

Lattice parameters (Å, degrees): 14.0814 14.0814 7.5789 90.00 90.00 164.19
Sites, in units of the cell vectors:
Ba 0.2443 0.7557 0.7500
Ba 0.7557 0.2443 0.2500
Sm 0.0726 0.9274 0.7500
Sm 0.0806 0.9194 0.2500
Sm 0.9194 0.0806 0.7500
Sm 0.9274 0.0726 0.2500
Ti 0.3549 0.6451 0.0056
Ti 0.3549 0.6451 0.4944
Ti 0.5000 0.5000 0.0000
Ti 0.5000 0.5000 0.5000
Ti 0.6451 0.3549 0.5056
Ti 0.6451 0.3549 0.9944
O 0.0000 0.0000 0.0000
O 0.0000 0.0000 0.5000
O 0.1289 0.8711 0.5083
O 0.1289 0.8711 0.9917
O 0.2930 0.7070 0.0505
O 0.2930 0.7070 0.4495
O 0.3521 0.6479 0.7500
O 0.3794 0.6206 0.2500
O 0.4334 0.5666 0.5620
O 0.4334 0.5666 0.9380
O 0.4808 0.5192 0.2500
O 0.5192 0.4808 0.7500
O 0.5666 0.4334 0.0620
O 0.5666 0.4334 0.4380
O 0.6206 0.3794 0.7500
O 0.6479 0.3521 0.2500
O 0.7070 0.2930 0.5505
O 0.7070 0.2930 0.9495
O 0.8711 0.1289 0.0083
O 0.8711 0.1289 0.4917


9.
The following is a meta-GGA SCAN calculation of a PBEsol-optimized structure of ScTeP2O, from the Alexandria database.

Results
V	97	Å³/cell
E_tot	-15.76	eV per atom

Lattice parameters (Å, degrees): 4.9816 4.9816 3.9258 90.00 90.00 90.00
Sites, in units of the cell vectors:
Sc 0.0000 0.0000 0.0000
Te 0.5000 0.5000 0.5000
P 0.0000 0.5000 0.5000
P 0.5000 0.0000 0.5000
O 0.5000 0.5000 0.0000


10.
The following is a meta-GGA SCAN calculation of a PBEsol-optimized structure of KCaCo, from the Alexandria database.

Results
V	95	Å³/cell
formation energy	0.712	eV per atom

Lattice parameters (Å, degrees): 3.7090 3.7090 7.9636 90.00 90.00 120.00
Sites, in units of the cell vectors:
K 0.0000 0.0000 0.0000
Ca 0.3333 0.6667 0.5126
Co 0.6667 0.3333 0.2928


11.
The following is a meta-GGA SCAN calculation of a PBEsol-optimized structure of Y2ScTe2, from the Alexandria database.

Results
V	254	Å³/cell
E_tot	-29.97	eV per atom

Lattice parameters (Å, degrees): 8.0246 8.0246 3.9517 90.00 90.00 90.00
Sites, in units of the cell vectors:
Y 0.1529 0.3471 0.0000
Y 0.3471 0.8471 0.0000
Y 0.6529 0.1529 0.0000
Y 0.8471 0.6529 0.0000
Sc 0.0000 0.0000 0.5000
Sc 0.5000 0.5000 0.5000
Te 0.1494 0.6494 0.5000
Te 0.3506 0.1494 0.5000
Te 0.6494 0.8506 0.5000
Te 0.8506 0.3506 0.5000


12.
The following is a meta-GGA SCAN calculation of a PBEsol-optimized structure of ZrRe2Sb, from the Alexandria database.

Results
V	70	Å³/cell
E_tot	-52.27	eV per atom

Lattice parameters (Å, degrees): 3.4024 4.3884 4.6650 90.00 90.00 90.00
Sites, in units of the cell vectors:
Zr 0.0000 0.0000 0.0000
Re 0.0000 0.5000 0.5000
Re 0.5000 0.0000 0.5000
Sb 0.5000 0.5000 0.0000


13.
The following is a meta-GGA SCAN calculation of a PBEsol-optimized structure of Ta2Ru, from the Alexandria database.

Results
V	97	Å³/cell
formation energy	-0.282	eV per atom

Lattice parameters (Å, degrees): 5.2995 5.2995 6.4490 109.37 109.37 34.92
Sites, in units of the cell vectors:
Ta 0.0029 0.0029 0.2594
Ta 0.3288 0.3288 0.9064
Ta 0.6712 0.6712 0.0936
Ta 0.9971 0.9971 0.7406
Ru 0.3395 0.3395 0.4076
Ru 0.6605 0.6605 0.5924


14.
The following is a meta-GGA SCAN calculation of a PBEsol-optimized structure of KAl2Zn2, from the Alexandria database.

Results
V	103	Å³/cell
formation energy	0.024	eV per atom

Lattice parameters (Å, degrees): 6.4880 6.4880 6.4880 141.93 141.93 54.93
Sites, in units of the cell vectors:
K 0.0000 0.0000 0.0000
Al 0.2500 0.7500 0.5000
Al 0.7500 0.2500 0.5000
Zn 0.3871 0.3871 0.0000
Zn 0.6129 0.6129 0.0000


15.
The following is a meta-GGA SCAN calculation of a PBEsol-optimized structure of CuSiAg2, from the Alexandria database.

Results
V	59	Å³/cell
E_tot	-21.82	eV per atom

Lattice parameters (Å, degrees): 2.9692 3.1186 6.3610 90.00 90.00 90.00
Sites, in units of the cell vectors:
Cu 0.0000 0.0000 0.0000
Si 0.5000 0.5000 0.1838
Ag 0.0000 0.0000 0.4505
Ag 0.5000 0.5000 0.7456


16.
The following is a meta-GGA SCAN calculation of a PBEsol-optimized structure of Si2HgW, from the Alexandria database.

Results
V	63	Å³/cell
E_tot	-38.79	eV per atom

Lattice parameters (Å, degrees): 4.9160 4.9160 4.9160 138.79 124.98 71.00
Sites, in units of the cell vectors:
Si 0.2459 0.2459 0.0000
Si 0.7541 0.7541 0.0000
Hg 0.5000 0.0000 0.5000
W 0.0000 0.5000 0.5000


17.
The following is a meta-GGA SCAN calculation of a PBEsol-optimized structure of CuB3Pd, from the Alexandria database.

Results
V	65	Å³/cell
formation energy	1.529	eV per atom

Lattice parameters (Å, degrees): 4.0218 4.0218 4.0218 90.00 90.00 90.00
Sites, in units of the cell vectors:
Cu 0.0000 0.0000 0.0000
B 0.0000 0.5000 0.5000
B 0.5000 0.0000 0.5000
B 0.5000 0.5000 0.0000
Pd 0.5000 0.5000 0.5000


18.
The following is a meta-GGA SCAN calculation of a PBEsol-optimized structure of LaSc2Ta, from the Alexandria database.

Results
V	93	Å³/cell
formation energy	0.263	eV per atom

Lattice parameters (Å, degrees): 10.8756 10.8756 10.8756 16.73 16.73 16.73
Sites, in units of the cell vectors:
La 0.0000 0.0000 0.0000
Sc 0.2398 0.2398 0.2398
Sc 0.7602 0.7602 0.7602
Ta 0.5000 0.5000 0.5000


19.
The following is a meta-GGA SCAN calculation of a PBEsol-optimized structure of InSn2I5, from the Alexandria database.

Results
V	546	Å³/cell
E_tot	-36.51	eV per atom

Lattice parameters (Å, degrees): 9.5910 9.5910 9.5910 126.89 126.89 78.42
Sites, in units of the cell vectors:
In 0.2500 0.2500 0.0000
In 0.7500 0.7500 0.0000
Sn 0.1595 0.6595 0.8191
Sn 0.3405 0.1595 0.5000
Sn 0.6595 0.8405 0.5000
Sn 0.8405 0.3405 0.1809
I 0.0000 0.0000 0.0000
I 0.0156 0.1997 0.5000
I 0.1997 0.6997 0.1841
I 0.3003 0.4844 0.5000
I 0.4844 0.9844 0.1841
I 0.5000 0.5000 0.0000
I 0.5156 0.0156 0.8159
I 0.6997 0.5156 0.5000
I 0.8003 0.3003 0.8159
I 0.9844 0.8003 0.5000


20.
The following is a meta-GGA SCAN calculation of a PBEsol-optimized structure of Li2AsN, from the Alexandria database.

Results
V	102	Å³/cell
E_tot	-8.60	eV per atom

Lattice parameters (Å, degrees): 5.3736 5.3736 5.3736 98.62 98.62 134.46
Sites, in units of the cell vectors:
Li 0.0031 0.1250 0.3781
Li 0.3750 0.9969 0.1219
Li 0.7469 0.6250 0.6219
Li 0.8750 0.2531 0.8781
As 0.2500 0.7500 0.5000
As 0.5000 0.5000 0.0000
N 0.0000 0.0000 0.0000
N 0.7500 0.2500 0.5000


21.
The following is a meta-GGA SCAN calculation of a PBEsol-optimized structure of TcNiSe2, from the Alexandria database.

Results
V	65	Å³/cell
E_tot	-22.52	eV per atom

Lattice parameters (Å, degrees): 7.9432 7.9432 7.9432 22.67 22.67 22.67
Sites, in units of the cell vectors:
Tc 0.0000 0.0000 0.0000
Ni 0.5000 0.5000 0.5000
Se 0.1007 0.1007 0.1007
Se 0.8993 0.8993 0.8993


22.
The following is a meta-GGA SCAN calculation of a PBEsol-optimized structure of ScMn2, from the Alexandria database.

Results
V	320	Å³/cell
formation energy	-0.091	eV per atom

Lattice parameters (Å, degrees): 4.8328 4.8328 15.8303 90.00 90.00 120.00
Sites, in units of the cell vectors:
Sc 0.0000 0.0000 0.0930
Sc 0.0000 0.0000 0.4070
Sc 0.0000 0.0000 0.5930
Sc 0.0000 0.0000 0.9070
Sc 0.3333 0.6667 0.1561
Sc 0.3333 0.6667 0.3439
Sc 0.6667 0.3333 0.6561
Sc 0.6667 0.3333 0.8439
Mn 0.0000 0.5000 0.0000
Mn 0.0000 0.5000 0.5000
Mn 0.1611 0.3221 0.7500
Mn 0.1611 0.8389 0.7500
Mn 0.3221 0.1611 0.2500
Mn 0.3333 0.6667 0.6302
Mn 0.3333 0.6667 0.8698
Mn 0.5000 0.0000 0.0000
Mn 0.5000 0.0000 0.5000
Mn 0.5000 0.5000 0.0000
Mn 0.5000 0.5000 0.5000
Mn 0.6667 0.3333 0.1302
Mn 0.6667 0.3333 0.3698
Mn 0.6779 0.8389 0.7500
Mn 0.8389 0.1611 0.2500
Mn 0.8389 0.6779 0.2500


23.
The following is a meta-GGA SCAN calculation of a PBEsol-optimized structure of CaAuSe2, from the Alexandria database.

Results
V	96	Å³/cell
relative energy among the computed polymorphs	104	meV/atom

Lattice parameters (Å, degrees): 3.9178 3.6978 6.6565 90.00 97.45 90.00
Sites, in units of the cell vectors:
Ca 0.0000 0.0000 0.0000
Au 0.5000 0.0000 0.5000
Se 0.4774 0.5000 0.7667
Se 0.5226 0.5000 0.2333